Here is VSe2NF after structural relaxation from the Alexandria database. Energies are from PBE+U.

Cell and atoms, written as CIF:
```
data_VSe2NF
_space_group_name_H-M_alt 'P 4/m m m'
_space_group_IT_number 123
_space_group_name_Hall '-P 4 2'
_cell_length_a 4.600
_cell_length_b 4.600
_cell_length_c 4.031
_cell_angle_alpha 90.00
_cell_angle_beta 90.00
_cell_angle_gamma 90.00
loop_
_atom_site_label
_atom_site_fract_x
_atom_site_fract_y
_atom_site_fract_z
_atom_site_occupancy
V1 0.000 0.000 0.000 1
Se1 0.000 0.500 0.500 1
N1 0.500 0.500 0.000 1
F1 0.500 0.500 0.500 1
```

The excess energy over the best structure of this formula in the dataset is 794.6 meV/atom. The value obtained for the magnetization is 0.76 μB/cell.